[1]
Rb2TcSnF6 | GGA-PBE | optimized geometry

Results
The calculation puts the uncorrected formation energy at -2073 meV/atom. Its space-group type is Fm-3m (225).

Cell and atoms, written as POSCAR:
```
Rb2TcSnF6
1.0
0.000 4.516 4.516
4.516 0.000 4.516
4.516 4.516 0.000
Rb Tc Sn F
2 1 1 6
Direct
0.250 0.250 0.250
0.750 0.750 0.750
0.000 0.000 0.000
0.500 0.500 0.500
0.238 0.238 0.762
0.238 0.762 0.238
0.238 0.762 0.762
0.762 0.238 0.238
0.762 0.238 0.762
0.762 0.762 0.238
```

=====

[2]
TmSnAs | GGA-PBE | optimized geometry

Results
The calculation puts the formation energy from the elements at -0.49 eV per atom. Its space-group type is P-6m2 (187).

Cell and atoms, written as POSCAR:
```
TmSnAs
1.0
3.923 0.000 0.000
-1.962 3.398 0.000
0.000 0.000 12.038
Tm Sn As
2 2 2
Direct
0.000 0.000 0.203
0.000 0.000 0.797
0.000 0.000 0.500
0.667 0.333 0.000
0.667 0.333 0.338
0.667 0.333 0.662
```

=====

[3]
CdBrF3 | GGA-PBE | optimized geometry

Results
The calculation puts the uncorrected formation energy at -524 meV/atom. Its offset from the most stable computed form is 290 kJ/mol of formula units. Its space-group type is Pm-3m (221).

Cell and atoms, written as POSCAR:
```
CdBrF3
1.0
4.551 0.000 0.000
0.000 4.551 0.000
0.000 0.000 4.551
Cd Br F
1 1 3
Direct
0.000 0.000 0.000
0.500 0.500 0.500
0.000 0.500 0.500
0.500 0.000 0.500
0.500 0.500 0.000
```

=====

[4]
TbSc8Al2 | GGA-PBE | optimized geometry

Results
The calculation puts the formation energy from the elements at 0.00 eV per atom. Its space-group type is C2/m (12).

Cell and atoms, written as POSCAR:
```
TbSc8Al2
1.0
4.087 -6.954 0.000
4.087 6.954 0.000
-2.409 0.000 4.639
Tb Sc Al
1 8 2
Direct
0.000 0.000 0.000
0.092 0.331 0.637
0.219 0.781 0.000
0.331 0.092 0.637
0.420 0.420 0.209
0.580 0.580 0.791
0.669 0.908 0.363
0.781 0.219 0.000
0.908 0.669 0.363
0.309 0.691 0.500
0.691 0.309 0.500
```

=====

Values for total moment, μB per formula unit, ordered as above
1.0 0.0 0.0 0.0
Values for uncorrected energy, eV/cell, ordered as above
-48.26 -29.18 -10.82 -62.73